[1]
First-principles (PBE) data for crystalline Sn5Te12Pb3 at its relaxed geometry, as listed in Alexandria. Values from VASP.

Properties
- M_tot: 0.0 Bohr magnetons per cell
- Energy: -286.9 eV/cell

Cell and atoms, written as Quantum ESPRESSO input:
```
&SYSTEM
  ibrav = 0, nat = 80, ntyp = 3
/
ATOMIC_SPECIES
Sn 118.71 Sn.upf
Te 127.60 Te.upf
Pb 207.20 Pb.upf
CELL_PARAMETERS angstrom
-9.112 9.112 9.112
9.112 -9.112 9.112
9.112 9.112 -9.112
ATOMIC_POSITIONS crystal
Sn 0.000 0.000 0.000
Sn 0.000 0.000 0.500
Sn 0.000 0.500 0.000
Sn 0.000 0.500 0.500
Sn 0.125 0.750 0.875
Sn 0.125 0.875 0.250
Sn 0.250 0.125 0.875
Sn 0.250 0.625 0.375
Sn 0.375 0.250 0.625
Sn 0.375 0.625 0.750
Sn 0.500 0.000 0.000
Sn 0.500 0.000 0.500
Sn 0.500 0.500 0.000
Sn 0.500 0.500 0.500
Sn 0.625 0.375 0.250
Sn 0.625 0.750 0.375
Sn 0.750 0.375 0.625
Sn 0.750 0.875 0.125
Sn 0.875 0.125 0.750
Sn 0.875 0.250 0.125
Te 0.042 0.218 0.129
Te 0.042 0.324 0.913
Te 0.087 0.629 0.412
Te 0.087 0.958 0.676
Te 0.088 0.718 0.676
Te 0.088 0.871 0.413
Te 0.129 0.042 0.218
Te 0.129 0.587 0.912
Te 0.176 0.218 0.588
Te 0.176 0.458 0.587
Te 0.218 0.129 0.042
Te 0.218 0.588 0.176
Te 0.282 0.324 0.912
Te 0.282 0.458 0.371
Te 0.324 0.912 0.282
Te 0.324 0.913 0.042
Te 0.371 0.282 0.458
Te 0.371 0.588 0.913
Te 0.412 0.087 0.629
Te 0.412 0.824 0.782
Te 0.413 0.088 0.871
Te 0.413 0.824 0.542
Te 0.458 0.371 0.282
Te 0.458 0.587 0.176
Te 0.542 0.413 0.824
Te 0.542 0.629 0.718
Te 0.587 0.176 0.458
Te 0.587 0.912 0.129
Te 0.588 0.176 0.218
Te 0.588 0.913 0.371
Te 0.629 0.412 0.087
Te 0.629 0.718 0.542
Te 0.676 0.087 0.958
Te 0.676 0.088 0.718
Te 0.718 0.542 0.629
Te 0.718 0.676 0.088
Te 0.782 0.412 0.824
Te 0.782 0.871 0.958
Te 0.824 0.542 0.413
Te 0.824 0.782 0.412
Te 0.871 0.413 0.088
Te 0.871 0.958 0.782
Te 0.912 0.129 0.587
Te 0.912 0.282 0.324
Te 0.913 0.042 0.324
Te 0.913 0.371 0.588
Te 0.958 0.676 0.087
Te 0.958 0.782 0.871
Pb 0.125 0.250 0.375
Pb 0.125 0.375 0.750
Pb 0.250 0.375 0.125
Pb 0.250 0.875 0.625
Pb 0.375 0.125 0.250
Pb 0.375 0.750 0.125
Pb 0.625 0.250 0.875
Pb 0.625 0.875 0.750
Pb 0.750 0.125 0.375
Pb 0.750 0.625 0.875
Pb 0.875 0.625 0.250
Pb 0.875 0.750 0.625
```

[2]
First-principles (PBE) data for crystalline SnTePb3 at its relaxed geometry, as listed in Alexandria. Values from VASP.

Properties
- Energy above the lowest structure with this stoichiometry: 0 meV/atom
- M_tot: 0.0 Bohr magnetons per cell
- Energy: -16.1 eV/cell

Cell and atoms, written as Quantum ESPRESSO input:
```
&SYSTEM
  ibrav = 0, nat = 5, ntyp = 3
/
ATOMIC_SPECIES
Sn 118.71 Sn.upf
Te 127.60 Te.upf
Pb 207.20 Pb.upf
CELL_PARAMETERS angstrom
5.865 0.000 0.000
0.000 5.865 0.000
0.000 0.000 5.865
ATOMIC_POSITIONS crystal
Sn 0.000 0.000 0.000
Te 0.500 0.500 0.500
Pb 0.000 0.000 0.500
Pb 0.000 0.500 0.000
Pb 0.500 0.000 0.000
```

[3]
First-principles (PBE) data for crystalline SnTePb2 at its relaxed geometry, as listed in Alexandria. Values from VASP.

Properties
- Energy above the lowest structure with this stoichiometry: 67 meV/atom
- M_tot: 0.0 Bohr magnetons per cell
- Energy: -14.4 eV/cell

Cell and atoms, written as Quantum ESPRESSO input:
```
&SYSTEM
  ibrav = 0, nat = 4, ntyp = 3
/
ATOMIC_SPECIES
Sn 118.71 Sn.upf
Te 127.60 Te.upf
Pb 207.20 Pb.upf
CELL_PARAMETERS angstrom
0.000 3.931 3.931
3.931 0.000 3.931
3.931 3.931 0.000
ATOMIC_POSITIONS crystal
Sn 0.000 0.000 0.000
Te 0.500 0.500 0.500
Pb 0.250 0.250 0.250
Pb 0.750 0.750 0.750
```

The calculation returns the following energy relative to the elements, uncorrected values, one per record and in order: -0.144; 0.440; 0.037 eV/atom.